# Th6Ru2PtS3 (PBE, relaxed)
data_Th6Ru2PtS3
_chemical_formula_sum 'Th6 Ru2 Pt1 S3'
_cell_length_a 7.050
_cell_length_b 7.050
_cell_length_c 7.503
_cell_angle_alpha 99.03
_cell_angle_beta 99.03
_cell_angle_gamma 119.98
_symmetry_space_group_name_H-M 'P 1'
_symmetry_Int_Tables_number 1
loop_
_symmetry_equiv_pos_as_xyz
'x,y,z'
loop_
_atom_site_label
_atom_site_type_symbol
_atom_site_fract_x
_atom_site_fract_y
_atom_site_fract_z
Th1 Th 0.924 0.580 0.770
Th2 Th 0.733 0.733 0.231
Th3 Th 0.076 0.420 0.230
Th4 Th 0.580 0.924 0.770
Th5 Th 0.267 0.267 0.769
Th6 Th 0.420 0.076 0.230
Ru1 Ru 0.333 0.667 0.000
Ru2 Ru 0.667 0.333 0.000
Pt1 Pt 0.000 0.000 0.000
S1 S 0.166 0.834 0.500
S2 S 0.834 0.166 0.500
S3 S 0.500 0.500 0.500
# E_tot   -8.019 eV per atom
# Spin magnetization   0.0000 μB/atom